(1)
# RbCr2S

Crystalline RbCr2S at its relaxed geometry (PBE, Alexandria via LeMat-Bulk).

Cell: 8.4640 8.4640 8.4640 Å, 139.06 139.06 59.28°
Last column: nearest neighbours and their distance in Å.
Atoms (fractional coordinates):
Rb (0.3750, 0.6250, 0.7500)  8 Cr 3.79, 4 S 4.19
Rb (0.6250, 0.3750, 0.2500)  8 Cr 3.79, 4 S 4.19
Cr (0.0000, 0.0000, 0.0000)  2 S 2.36
Cr (0.0000, 0.0000, 0.5000)  2 S 2.36
Cr (0.0000, 0.5000, 0.0000)  2 S 2.36
Cr (0.5000, 0.0000, 0.5000)  2 S 2.36
S (0.1250, 0.8750, 0.2500)  4 Cr 2.36
S (0.8750, 0.1250, 0.7500)  4 Cr 2.36

Output
**VASP energy**: -5.733 eV/atom
**Energy relative to the elements, uncorrected**: 1.41 eV/f.u.
**DOS(E_F)**: 0.502 states/eV per atom

=====

(2)
# CeY3Ho7

Crystalline CeY3Ho7 at its relaxed geometry (PBE, Alexandria via LeMat-Bulk).

Cell: 7.0075 7.0075 8.6044 Å, 90.00 90.00 120.00°
Last column: nearest neighbours and their distance in Å.
Atoms (fractional coordinates):
Ce (0.0000, 0.0000, 0.0000)  9 Ho 3.44-3.50, 3 Y 3.52
Y (0.3312, 0.1656, 0.6636)  4 Y 3.48-3.53, 5 Ho 3.52-3.54, 1 Ce 3.52
Y (0.8344, 0.1656, 0.6636)  4 Y 3.48-3.53, 5 Ho 3.52-3.54, 1 Ce 3.52
Y (0.8344, 0.6688, 0.6636)  4 Y 3.48-3.53, 5 Ho 3.52-3.54, 1 Ce 3.52
Ho (0.1643, 0.3286, 0.3253)  1 Ce 3.44, 8 Ho 3.45-3.55, 2 Y 3.53
Ho (0.1643, 0.8357, 0.3253)  1 Ce 3.44, 8 Ho 3.45-3.55, 2 Y 3.53
Ho (0.5007, 0.0015, 0.9978)  7 Ho 3.48-3.52, 2 Ce 3.50, 2 Y 3.52
Ho (0.5007, 0.4993, 0.9978)  7 Ho 3.48-3.52, 2 Ce 3.50, 2 Y 3.52
Ho (0.6667, 0.3333, 0.3273)  9 Ho 3.48-3.50, 3 Y 3.54
Ho (0.6714, 0.8357, 0.3253)  1 Ce 3.44, 8 Ho 3.45-3.55, 2 Y 3.53
Ho (0.9985, 0.4993, 0.9978)  7 Ho 3.48-3.52, 2 Ce 3.50, 2 Y 3.52

Output
**VASP energy**: -5.007 eV/atom
**Formation energy**: 0.21 eV/atom
**DOS(E_F)**: 1.845 states/eV per atom